[1]
First-principles (PBE) data for a geometry-optimized Zn2P structure, as listed in Alexandria via LeMat-Bulk.

abc: 3.3278 3.3278 18.1165
angles: 90.00 90.00 90.00
With the nearest neighbours (Å) after each atom.
Space group I4_1/amd (No. 141, origin choice 2)
Symmetry-distinct sites (fractional):
Zn  0.0000  0.2500  0.3045  3 Zn 2.56-2.58, 4 P 2.68
P  0.0000  0.2500  0.8750  8 Zn 2.68


[2]
First-principles (PBE) data for a geometry-optimized Zn2P structure, as listed in Alexandria via LeMat-Bulk.

abc: 3.6626 3.6626 28.7029
angles: 90.00 90.00 90.00
With the nearest neighbours (Å) after each atom.
Space group I4_1/amd (No. 141, origin choice 2)
Symmetry-distinct sites (fractional):
Zn  0.0000  0.2500  0.1239  4 Zn 2.59, 4 P 2.64-2.69
Zn  0.0000  0.2500  0.7874  4 P 2.65, 2 Zn 2.82
P  0.0000  0.2500  0.3076  8 Zn 2.64-2.69


The records above yield DFT formation energy values of 0.29; 0.18 eV per atom, respectively.